The following is a GGA-PBE calculation of an optimized crystal structure of Tb2PmHo3Te6, from Alexandria.

Unit cell a=9.7823 b=9.7823 c=8.7957 alpha=103.34 beta=103.34 gamma=25.65
Fractional positions:
Tb1 0.1649 0.1649 0.3298
Tb2 0.8351 0.8351 0.6702
Pm1 0.5000 0.5000 0.0000
Ho1 0.1635 0.1635 0.8324
Ho2 0.5000 0.5000 0.5000
Ho3 0.8365 0.8365 0.1676
Te1 0.0000 0.0000 0.2577
Te2 0.0000 0.0000 0.7423
Te3 0.3293 0.3293 0.9177
Te4 0.3332 0.3332 0.4154
Te5 0.6668 0.6668 0.5846
Te6 0.6707 0.6707 0.0823

Results
E_form (uncorrected) (eV per atom): -1.295

***

The following is a GGA-PBE calculation of an optimized crystal structure of Tc2OsPd, from Alexandria.

Unit cell a=4.3826 b=4.3826 c=4.3826 alpha=60.00 beta=60.00 gamma=60.00
Fractional positions:
Tc1 0.2500 0.2500 0.2500
Tc2 0.7500 0.7500 0.7500
Os1 0.0000 0.0000 0.0000
Pd1 0.5000 0.5000 0.5000

Results
ΔE_f (meV/atom): 449

***

The following is a GGA-PBE calculation of an optimized crystal structure of Ac2ScGa3Pt4, from Alexandria.

Unit cell a=4.4003 b=4.4003 c=11.0367 alpha=90.00 beta=90.00 gamma=90.00
Fractional positions:
Ac1 0.0000 0.5000 0.2376
Ac2 0.5000 0.0000 0.7624
Sc1 0.0000 0.0000 0.5000
Ga1 0.0000 0.5000 0.8796
Ga2 0.5000 0.0000 0.1204
Ga3 0.5000 0.5000 0.5000
Pt1 0.0000 0.0000 0.0000
Pt2 0.0000 0.5000 0.6448
Pt3 0.5000 0.0000 0.3552
Pt4 0.5000 0.5000 0.0000

Results
ΔE_f (meV/atom): -1013

***

How do the records compare in energy? In the order shown, they have -5.178, -8.839, -5.792 eV per atom.